Compound: DyHoGe2Ir
Source: OQMD
Functional: PBE
Structure: optimized geometry

Cell and atoms, written as POSCAR:
```
DyHoGe2Ir
1.0
5.2549 -2.1466 0.0000
5.2549 2.1466 0.0000
-4.6552 0.0000 9.1876
Ir Ge Dy Ho
2 4 2 2
Direct
0.7284 0.7284 0.8351 Ir
0.2716 0.2716 0.1649 Ir
0.4797 0.4797 0.6155 Ge
0.5203 0.5203 0.3845 Ge
0.3526 0.3526 0.9469 Ge
0.6474 0.6474 0.0531 Ge
0.9918 0.9918 0.1702 Dy
0.0082 0.0082 0.8298 Dy
0.1900 0.1900 0.6186 Ho
0.8100 0.8100 0.3814 Ho
```

Summary:
space-group type: C2/m (12)
VASP energy: -6.38 eV/atom